Computed, not measured: a relaxed structure of ThCu3P3 at the PBE level of DFT.

Properties
Calculated total energy (eV/f.u.): -37.654
Mass density (Mg/m³): 6.93
Excess energy over the best structure of this formula in the dataset (meV/atom): 205.5
Formation energy (eV/atom): -0.25
Crystal system: cubic

Cell and atoms, written as CIF:
```
data_ThCu3P3
_space_group_name_H-M_alt 'P m -3 n'
_space_group_IT_number 223
_space_group_name_Hall '-P 4n 2 3'
_cell_length_a 6.277
_cell_length_b 6.277
_cell_length_c 6.277
_cell_angle_alpha 90.00
_cell_angle_beta 90.00
_cell_angle_gamma 90.00
loop_
_atom_site_label
_atom_site_fract_x
_atom_site_fract_y
_atom_site_fract_z
_atom_site_occupancy
Th1 0.000 0.000 0.000 1
Cu1 0.000 0.250 0.500 1
P1 0.000 0.500 0.250 1
```